[1]
This record from Alexandria via LeMat-Bulk describes Sm2Y2Ag after structural relaxation. The functional is PBE.

POSCAR file:
```
Sm2Y2Ag
1.0
-3.606 0.114 3.609
3.599 -0.288 3.606
0.687 12.333 -3.312
Sm Y Ag
4 4 2
direct
0.825 0.825 0.651 Sm
0.575 0.075 0.151 Sm
0.925 0.425 0.849 Sm
0.175 0.175 0.349 Sm
0.429 0.929 0.857 Y
0.679 0.679 0.357 Y
0.321 0.321 0.643 Y
0.071 0.571 0.143 Y
0.500 0.500 0.000 Ag
0.250 0.750 0.500 Ag
```

For the relative energy among the computed polymorphs, the calculation gives 0.149 eV per atom. The calculation puts the density of states at the Fermi level at 19.80 states/eV per cell. The symmetry is No. 141. The formation energy is 43 meV per atom.

---

[2]
This record from Alexandria via LeMat-Bulk describes Sm5YAg4 after structural relaxation. The functional is PBE.

POSCAR file:
```
Sm5YAg4
1.0
3.683 0.000 0.000
0.000 3.683 0.000
0.000 0.000 20.045
Sm Y Ag
5 1 4
direct
0.500 0.500 0.125 Sm
0.500 0.500 0.312 Sm
0.500 0.500 0.500 Sm
0.500 0.500 0.688 Sm
0.500 0.500 0.875 Sm
0.000 0.000 0.000 Y
0.000 0.000 0.217 Ag
0.000 0.000 0.406 Ag
0.000 0.000 0.594 Ag
0.000 0.000 0.783 Ag
```

The calculation puts the density of states at the Fermi level at 9.17 states/eV per cell. The symmetry is No. 123. The formation energy is -214 meV per atom.

---

[3]
This record from Alexandria via LeMat-Bulk describes Sm5Y3Ag2 after structural relaxation. The functional is PBE.

POSCAR file:
```
Sm5Y3Ag2
1.0
6.674 0.000 0.000
3.337 9.963 0.343
3.337 2.974 9.514
Sm Y Ag
10 6 4
direct
0.250 0.500 0.500 Sm
0.750 0.500 0.500 Sm
0.557 0.693 0.693 Sm
0.943 0.307 0.307 Sm
0.443 0.307 0.307 Sm
0.057 0.693 0.693 Sm
0.062 0.670 0.206 Sm
0.938 0.330 0.794 Sm
0.562 0.206 0.670 Sm
0.438 0.794 0.330 Sm
0.250 0.000 0.000 Y
0.750 0.000 0.000 Y
0.333 0.383 0.950 Y
0.667 0.617 0.050 Y
0.833 0.950 0.383 Y
0.167 0.050 0.617 Y
0.159 0.784 0.897 Ag
0.841 0.216 0.103 Ag
0.659 0.897 0.784 Ag
0.341 0.103 0.216 Ag
```

The calculation puts the density of states at the Fermi level at 28.45 states/eV per cell. The symmetry is No. 72. The formation energy is 116 meV per atom.

---

[4]
This record from Alexandria via LeMat-Bulk describes Sm2YAg2 after structural relaxation. The functional is PBE.

POSCAR file:
```
Sm2YAg2
1.0
3.660 0.000 -0.490
0.000 5.308 0.000
-0.014 0.000 13.782
Sm Y Ag
4 2 4
direct
0.047 0.750 0.094 Sm
0.953 0.250 0.906 Sm
0.235 0.750 0.468 Sm
0.765 0.250 0.532 Sm
0.855 0.750 0.710 Y
0.145 0.250 0.290 Y
0.642 0.750 0.283 Ag
0.358 0.250 0.717 Ag
0.451 0.750 0.901 Ag
0.549 0.250 0.099 Ag
```

For the relative energy among the computed polymorphs, the calculation gives 0.000 eV per atom. The calculation puts the density of states at the Fermi level at 8.75 states/eV per cell. The symmetry is No. 63. The formation energy is -216 meV per atom.

---

[5]
This record from Alexandria via LeMat-Bulk describes SmY3Ag after structural relaxation. The functional is PBE.

POSCAR file:
```
SmY3Ag
1.0
-5.390 3.092 3.640
5.143 -1.723 4.738
4.164 4.598 -4.933
Sm Y Ag
2 6 2
direct
0.692 0.083 0.776 Sm
0.308 0.917 0.224 Sm
0.821 0.982 0.207 Y
0.225 0.387 0.207 Y
0.775 0.613 0.793 Y
0.738 0.449 0.188 Y
0.179 0.018 0.793 Y
0.262 0.551 0.812 Y
0.672 0.764 0.436 Ag
0.328 0.236 0.564 Ag
```

The calculation puts the density of states at the Fermi level at 15.62 states/eV per cell. The symmetry is No. 12. The formation energy is 42 meV per atom.

---

[6]
This record from Alexandria via LeMat-Bulk describes Sm3YAg2 after structural relaxation. The functional is PBE.

POSCAR file:
```
Sm3YAg2
1.0
-4.060 0.068 -3.216
3.362 -4.426 -4.338
-3.697 -7.232 4.514
Sm Y Ag
6 2 4
direct
0.000 0.489 0.935 Sm
0.000 0.989 0.065 Sm
0.500 0.656 0.169 Sm
0.500 0.156 0.831 Sm
0.000 0.344 0.331 Sm
0.000 0.844 0.669 Sm
0.500 0.512 0.562 Y
0.500 0.012 0.438 Y
0.500 0.732 0.846 Ag
0.500 0.232 0.154 Ag
0.000 0.268 0.649 Ag
0.000 0.768 0.351 Ag
```

The calculation puts the density of states at the Fermi level at 13.82 states/eV per cell. The symmetry is No. 26. The formation energy is -176 meV per atom.

---

[7]
This record from Alexandria via LeMat-Bulk describes Sm2YAg2 after structural relaxation. The functional is PBE.

POSCAR file:
```
Sm2YAg2
1.0
-4.421 -1.431 1.041
2.107 -4.765 2.400
-0.967 8.597 7.715
Sm Y Ag
4 2 4
direct
0.250 0.773 0.878 Sm
0.750 0.227 0.122 Sm
0.250 0.291 0.544 Sm
0.750 0.709 0.456 Sm
0.250 0.801 0.218 Y
0.750 0.199 0.782 Y
0.250 0.870 0.641 Ag
0.750 0.130 0.359 Ag
0.250 0.338 0.970 Ag
0.750 0.662 0.030 Ag
```

For the relative energy among the computed polymorphs, the calculation gives 0.128 eV per atom. The calculation puts the density of states at the Fermi level at 11.50 states/eV per cell. The symmetry is No. 11. The formation energy is -88 meV per atom.

---

[8]
This record from Alexandria via LeMat-Bulk describes Sm2Y2Ag after structural relaxation. The functional is PBE.

POSCAR file:
```
Sm2Y2Ag
1.0
-2.303 1.188 -2.505
-2.622 0.126 2.470
5.333 10.169 2.514
Sm Y Ag
2 2 1
direct
0.806 0.806 0.611 Sm
0.194 0.194 0.389 Sm
0.581 0.581 0.163 Y
0.419 0.419 0.837 Y
0.000 0.000 0.000 Ag
```

For the relative energy among the computed polymorphs, the calculation gives 0.000 eV per atom. The calculation puts the density of states at the Fermi level at 6.70 states/eV per cell. The symmetry is No. 139. The formation energy is -106 meV per atom.

---

[9]
This record from Alexandria via LeMat-Bulk describes SmY5Ag4 after structural relaxation. The functional is PBE.

POSCAR file:
```
SmY5Ag4
1.0
3.621 0.000 0.000
0.000 3.621 0.000
0.000 0.000 19.807
Sm Y Ag
1 5 4
direct
0.000 0.000 0.000 Sm
0.500 0.500 0.128 Y
0.500 0.500 0.313 Y
0.500 0.500 0.500 Y
0.500 0.500 0.687 Y
0.500 0.500 0.872 Y
0.000 0.000 0.220 Ag
0.000 0.000 0.407 Ag
0.000 0.000 0.593 Ag
0.000 0.000 0.780 Ag
```

The calculation puts the density of states at the Fermi level at 7.85 states/eV per cell. The symmetry is No. 123. The formation energy is -256 meV per atom.

---

[10]
This record from Alexandria via LeMat-Bulk describes SmY2Ag3 after structural relaxation. The functional is PBE.

POSCAR file:
```
SmY2Ag3
1.0
-1.668 -2.427 -2.153
3.135 -1.828 -0.369
-2.537 -6.150 8.900
Sm Y Ag
1 2 3
direct
0.500 0.500 0.500 Sm
0.500 0.500 0.836 Y
0.500 0.500 0.164 Y
0.000 0.000 0.000 Ag
0.000 0.000 0.674 Ag
0.000 0.000 0.326 Ag
```

The calculation puts the density of states at the Fermi level at 3.14 states/eV per cell. The symmetry is No. 123. The formation energy is -315 meV per atom.

---

[11]
This record from Alexandria via LeMat-Bulk describes Sm5Y12Ag3 after structural relaxation. The functional is PBE.

POSCAR file:
```
Sm5Y12Ag3
1.0
15.702 0.000 0.000
-5.234 14.804 0.000
-5.234 -7.402 12.821
Ag Sm Y
12 20 48
direct
0.750 0.375 0.125 Ag
0.875 0.750 0.125 Ag
0.375 0.750 0.625 Ag
0.250 0.125 0.375 Ag
0.875 0.125 0.250 Ag
0.375 0.625 0.250 Ag
0.625 0.375 0.750 Ag
0.125 0.875 0.750 Ag
0.750 0.875 0.625 Ag
0.625 0.250 0.375 Ag
0.125 0.250 0.875 Ag
0.250 0.625 0.875 Ag
0.125 0.375 0.250 Sm
0.000 0.500 0.000 Sm
0.000 0.000 0.000 Sm
0.375 0.250 0.125 Sm
0.500 0.000 0.500 Sm
0.500 0.500 0.000 Sm
0.125 0.750 0.375 Sm
0.750 0.125 0.875 Sm
0.750 0.625 0.375 Sm
0.375 0.125 0.750 Sm
0.625 0.875 0.250 Sm
0.500 0.500 0.500 Sm
0.500 0.000 0.000 Sm
0.000 0.000 0.500 Sm
0.250 0.375 0.625 Sm
0.250 0.875 0.125 Sm
0.000 0.500 0.500 Sm
0.875 0.250 0.625 Sm
0.625 0.750 0.875 Sm
0.875 0.625 0.750 Sm
0.736 0.138 0.081 Y
0.344 0.581 0.443 Y
0.919 0.362 0.264 Y
0.581 0.236 0.138 Y
0.598 0.736 0.656 Y
0.919 0.557 0.156 Y
0.344 0.764 0.402 Y
0.057 0.902 0.138 Y
0.557 0.919 0.656 Y
0.736 0.598 0.156 Y
0.764 0.419 0.362 Y
0.844 0.943 0.081 Y
0.138 0.736 0.581 Y
0.362 0.443 0.098 Y
0.098 0.943 0.362 Y
0.402 0.138 0.557 Y
0.098 0.156 0.236 Y
0.419 0.656 0.057 Y
0.844 0.902 0.264 Y
0.138 0.402 0.057 Y
0.362 0.919 0.764 Y
0.557 0.638 0.402 Y
0.943 0.844 0.581 Y
0.764 0.344 0.902 Y
0.443 0.362 0.598 Y
0.057 0.156 0.419 Y
0.236 0.656 0.098 Y
0.156 0.098 0.736 Y
0.638 0.081 0.236 Y
0.862 0.598 0.943 Y
0.581 0.344 0.943 Y
0.598 0.862 0.443 Y
0.902 0.844 0.764 Y
0.902 0.057 0.638 Y
0.862 0.264 0.419 Y
0.156 0.057 0.919 Y
0.638 0.557 0.902 Y
0.443 0.081 0.344 Y
0.264 0.402 0.844 Y
0.236 0.581 0.638 Y
0.943 0.098 0.862 Y
0.656 0.236 0.598 Y
0.419 0.764 0.862 Y
0.081 0.443 0.844 Y
0.402 0.264 0.344 Y
0.081 0.638 0.736 Y
0.656 0.419 0.557 Y
0.264 0.862 0.919 Y
```

The calculation puts the density of states at the Fermi level at 130.89 states/eV per cell. The symmetry is No. 230. The formation energy is 856 meV per atom.

---

[12]
This record from Alexandria via LeMat-Bulk describes SmYAg4 after structural relaxation. The functional is PBE.

POSCAR file:
```
SmYAg4
1.0
3.438 -0.003 0.000
0.002 4.440 0.000
0.000 0.000 9.622
Sm Y Ag
1 1 4
direct
0.501 0.497 0.998 Sm
0.001 0.997 0.498 Y
0.501 0.997 0.229 Ag
0.501 0.997 0.767 Ag
0.001 0.497 0.721 Ag
0.001 0.497 0.275 Ag
```

For the relative energy among the computed polymorphs, the calculation gives 0.298 eV per atom. The calculation puts the density of states at the Fermi level at 3.21 states/eV per cell. The symmetry is No. 47. The formation energy is 5 meV per atom.

---

[13]
This record from Alexandria via LeMat-Bulk describes Sm3YAg4 after structural relaxation. The functional is PBE.

POSCAR file:
```
Sm3YAg4
1.0
-0.156 3.444 -1.303
-3.572 -0.458 -0.782
-3.598 4.953 13.525
Y Ag Sm
1 4 3
direct
0.500 0.500 0.000 Y
0.000 0.000 0.881 Ag
0.000 0.000 0.119 Ag
0.000 0.000 0.374 Ag
0.000 0.000 0.626 Ag
0.500 0.500 0.248 Sm
0.500 0.500 0.500 Sm
0.500 0.500 0.752 Sm
```

The calculation puts the density of states at the Fermi level at 5.33 states/eV per cell. The symmetry is No. 123. The formation energy is -292 meV per atom.

---

[14]
This record from Alexandria via LeMat-Bulk describes SmY2Ag2 after structural relaxation. The functional is PBE.

POSCAR file:
```
SmY2Ag2
1.0
-2.296 -1.975 2.069
-0.195 -3.734 -3.780
11.676 -5.311 4.644
Sm Y Ag
2 4 4
direct
0.855 0.750 0.710 Sm
0.145 0.250 0.290 Sm
0.047 0.750 0.095 Y
0.953 0.250 0.905 Y
0.234 0.750 0.468 Y
0.766 0.250 0.532 Y
0.642 0.750 0.284 Ag
0.358 0.250 0.716 Ag
0.454 0.750 0.909 Ag
0.546 0.250 0.091 Ag
```

The calculation puts the density of states at the Fermi level at 8.90 states/eV per cell. The symmetry is No. 63. The formation energy is -230 meV per atom.

---

[15]
This record from Alexandria via LeMat-Bulk describes Sm4YAg2 after structural relaxation. The functional is PBE.

POSCAR file:
```
Sm4YAg2
1.0
5.501 0.000 0.000
2.751 4.764 0.000
2.751 1.588 8.491
Sm Y Ag
4 1 2
direct
0.730 0.730 0.811 Sm
0.873 0.873 0.381 Sm
0.270 0.270 0.189 Sm
0.127 0.127 0.619 Sm
0.500 0.500 0.500 Y
0.612 0.612 0.163 Ag
0.388 0.388 0.837 Ag
```

The calculation puts the density of states at the Fermi level at 9.53 states/eV per cell. The symmetry is No. 166. The formation energy is 110 meV per atom.

---

[16]
This record from Alexandria via LeMat-Bulk describes Sm3YAg3 after structural relaxation. The functional is PBE.

POSCAR file:
```
Sm3YAg3
1.0
7.255 1.399 0.380
-1.980 7.119 0.380
-0.374 -0.605 7.081
Sm Y Ag
6 2 6
direct
0.634 0.634 0.361 Sm
0.180 0.820 0.500 Sm
0.820 0.180 0.500 Sm
0.265 0.735 0.000 Sm
0.735 0.265 0.000 Sm
0.366 0.366 0.639 Sm
0.744 0.744 0.859 Y
0.256 0.256 0.141 Y
0.931 0.931 0.181 Ag
0.997 0.485 0.731 Ag
0.485 0.997 0.731 Ag
0.003 0.515 0.269 Ag
0.515 0.003 0.269 Ag
0.069 0.069 0.819 Ag
```

The calculation puts the density of states at the Fermi level at 12.31 states/eV per cell. The symmetry is No. 12. The formation energy is -129 meV per atom.

---

[17]
This record from Alexandria via LeMat-Bulk describes SmY4Ag2 after structural relaxation. The functional is PBE.

POSCAR file:
```
SmY4Ag2
1.0
-0.115 -4.669 -1.861
2.553 -3.680 2.283
-7.224 -4.843 5.806
Sm Y Ag
1 4 2
direct
0.500 0.500 0.500 Sm
0.703 0.703 0.892 Y
0.895 0.895 0.314 Y
0.297 0.297 0.108 Y
0.105 0.105 0.686 Y
0.602 0.602 0.195 Ag
0.398 0.398 0.805 Ag
```

The calculation puts the density of states at the Fermi level at 12.00 states/eV per cell. The symmetry is No. 166. The formation energy is 164 meV per atom.

---

[18]
This record from Alexandria via LeMat-Bulk describes Sm2YAg5 after structural relaxation. The functional is PBE.

POSCAR file:
```
Sm2YAg5
1.0
5.121 0.000 0.000
0.000 5.121 0.000
-2.561 -2.561 7.140
Sm Y Ag
2 1 5
direct
0.731 0.731 0.463 Sm
0.269 0.269 0.537 Sm
0.000 0.000 0.000 Y
0.500 0.500 0.000 Ag
0.884 0.384 0.768 Ag
0.384 0.884 0.768 Ag
0.116 0.616 0.232 Ag
0.616 0.116 0.232 Ag
```

The calculation puts the density of states at the Fermi level at 5.74 states/eV per cell. The symmetry is No. 139. The formation energy is -222 meV per atom.

---

[19]
This record from Alexandria via LeMat-Bulk describes Sm3Y2Ag2 after structural relaxation. The functional is PBE.

POSCAR file:
```
Sm3Y2Ag2
1.0
4.804 0.000 0.638
0.000 3.462 0.000
0.861 0.000 11.930
Sm Y Ag
3 2 2
direct
0.862 0.000 0.275 Sm
0.000 0.000 0.000 Sm
0.138 0.000 0.725 Sm
0.708 0.500 0.584 Y
0.292 0.500 0.416 Y
0.570 0.500 0.860 Ag
0.430 0.500 0.140 Ag
```

For the relative energy among the computed polymorphs, the calculation gives 0.184 eV per atom. The calculation puts the density of states at the Fermi level at 8.63 states/eV per cell. The symmetry is No. 65. The formation energy is 55 meV per atom.

---

[20]
This record from Alexandria via LeMat-Bulk describes Sm4Y5Ag after structural relaxation. The functional is PBE.

POSCAR file:
```
Sm4Y5Ag
1.0
-0.081 -1.715 3.162
2.551 -2.258 -1.159
17.078 14.917 8.526
Sm Y Ag
4 5 1
direct
0.000 0.000 0.185 Sm
0.000 0.000 0.395 Sm
0.000 0.000 0.605 Sm
0.000 0.000 0.815 Sm
0.500 0.500 0.078 Y
0.500 0.500 0.289 Y
0.500 0.500 0.500 Y
0.500 0.500 0.711 Y
0.500 0.500 0.922 Y
0.000 0.000 0.000 Ag
```

The calculation puts the density of states at the Fermi level at 13.05 states/eV per cell. The symmetry is No. 123. The formation energy is -44 meV per atom.